Record 1
# SmZn3In3

A relaxed SmZn3In3 crystal (PBE, the Alexandria database).

Properties
DFT total energy   -2.073 eV per atom
Symmetry   Pm-3n, No. 223
Energy relative to the elements   321 meV per atom

Lattice parameters (Å, degrees): 7.3392 7.3392 7.3392 90.00 90.00 90.00
Fractional coordinates of all 14 atoms:
Sm: 0.0000 0.0000 0.0000
Sm: 0.5000 0.5000 0.5000
Zn: 0.0000 0.2500 0.5000
Zn: 0.0000 0.7500 0.5000
Zn: 0.2500 0.5000 0.0000
Zn: 0.5000 0.0000 0.2500
Zn: 0.5000 0.0000 0.7500
Zn: 0.7500 0.5000 0.0000
In: 0.0000 0.5000 0.2500
In: 0.0000 0.5000 0.7500
In: 0.2500 0.0000 0.5000
In: 0.5000 0.2500 0.0000
In: 0.5000 0.7500 0.0000
In: 0.7500 0.0000 0.5000

Record 2
# PmSmThIn

A relaxed PmSmThIn crystal (PBE, the Alexandria database).

Properties
DFT total energy   -4.953 eV per atom
Symmetry   F-43m, No. 216
Energy relative to the elements   -46 meV per atom

Lattice parameters (Å, degrees): 7.8346 7.8346 7.8346 90.00 90.00 90.00
Fractional coordinates of all 16 atoms:
Pm: 0.0000 0.0000 0.0000
Pm: 0.0000 0.5000 0.5000
Pm: 0.5000 0.0000 0.5000
Pm: 0.5000 0.5000 0.0000
Sm: 0.0000 0.0000 0.5000
Sm: 0.0000 0.5000 0.0000
Sm: 0.5000 0.0000 0.0000
Sm: 0.5000 0.5000 0.5000
Th: 0.2500 0.2500 0.2500
Th: 0.2500 0.7500 0.7500
Th: 0.7500 0.2500 0.7500
Th: 0.7500 0.7500 0.2500
In: 0.2500 0.2500 0.7500
In: 0.2500 0.7500 0.2500
In: 0.7500 0.2500 0.2500
In: 0.7500 0.7500 0.7500

Record 3
# Sm3DyHo8

A relaxed Sm3DyHo8 crystal (PBE, the Alexandria database).

Properties
DFT total energy   -4.605 eV per atom
Symmetry   Imm2, No. 44
Energy relative to the elements   10 meV per atom

Lattice parameters (Å, degrees): 8.4466 8.4466 8.4466 99.80 96.08 136.37
Fractional coordinates of all 12 atoms:
Sm: 0.0000 0.0000 0.0000
Sm: 0.4120 0.6626 0.7495
Sm: 0.9131 0.6626 0.2505
Dy: 0.5003 0.0003 0.5000
Ho: 0.4158 0.3321 0.4181
Ho: 0.4158 0.9976 0.0837
Ho: 0.4968 0.3288 0.8320
Ho: 0.4968 0.6648 0.1680
Ho: 0.9140 0.3321 0.9163
Ho: 0.9140 0.9976 0.5819
Ho: 0.9972 0.3303 0.3331
Ho: 0.9972 0.6641 0.6669

Record 4
# Ta4PbSe8

A relaxed Ta4PbSe8 crystal (PBE, the Alexandria database).

Properties
DFT total energy   -6.748 eV per atom
Symmetry   R-3m, No. 166
ΔE_f (raw)   -672 meV per atom

Lattice parameters (Å, degrees): 9.0347 9.0347 9.0347 45.34 45.34 45.34
Fractional coordinates of all 13 atoms:
Ta: 0.0000 0.0000 0.0000
Ta: 0.0000 0.5000 0.5000
Ta: 0.5000 0.0000 0.5000
Ta: 0.5000 0.5000 0.0000
Pb: 0.5000 0.5000 0.5000
Se: 0.2365 0.2365 0.7355
Se: 0.2365 0.7355 0.2365
Se: 0.2645 0.7635 0.7635
Se: 0.2645 0.2645 0.2645
Se: 0.7355 0.7355 0.7355
Se: 0.7355 0.2365 0.2365
Se: 0.7635 0.2645 0.7635
Se: 0.7635 0.7635 0.2645

Record 5
# NiPd2Pt

A relaxed NiPd2Pt crystal (PBE, the Alexandria database).

Properties
DFT total energy   -5.555 eV per atom
Symmetry   P-1, No. 2
Energy relative to the elements   -3 meV per atom

Lattice parameters (Å, degrees): 2.7585 4.7134 4.7519 100.53 106.76 90.08
Fractional coordinates of all 4 atoms:
Ni: 0.0000 0.0000 0.0000
Pd: 0.2554 0.7563 0.5109
Pd: 0.7446 0.2437 0.4891
Pt: 0.5000 0.5000 0.0000

Record 6
# CrHgSbI6

A relaxed CrHgSbI6 crystal (PBE, the Alexandria database).

Properties
DFT total energy   -2.901 eV per atom
Symmetry   P312, No. 149
ΔE_f (raw)   -307 meV per atom

Lattice parameters (Å, degrees): 7.4238 7.4238 9.3952 90.00 90.00 120.00
Fractional coordinates of all 9 atoms:
Cr: 0.0000 0.0000 0.0000
Hg: 0.3333 0.6667 0.5000
Sb: 0.6667 0.3333 0.0000
I: 0.3028 0.0099 0.8250
I: 0.3028 0.2930 0.1750
I: 0.7070 0.0099 0.1750
I: 0.7070 0.6972 0.8250
I: 0.9901 0.2930 0.8250
I: 0.9901 0.6972 0.1750

Record 7
# Na4PmU3Se8

A relaxed Na4PmU3Se8 crystal (PBE, the Alexandria database).

Properties
DFT total energy   -5.783 eV per atom
Symmetry   R-3m, No. 166
ΔE_f (raw)   -1298 meV per atom

Lattice parameters (Å, degrees): 8.5493 8.5493 8.5493 58.28 58.28 58.28
Fractional coordinates of all 16 atoms:
Na: 0.0000 0.0000 0.0000
Na: 0.0000 0.5000 0.5000
Na: 0.5000 0.0000 0.5000
Na: 0.5000 0.5000 0.0000
Pm: 0.5000 0.5000 0.5000
U: 0.0000 0.0000 0.5000
U: 0.0000 0.5000 0.0000
U: 0.5000 0.0000 0.0000
Se: 0.2411 0.7473 0.7473
Se: 0.2445 0.2445 0.2445
Se: 0.2527 0.2527 0.7589
Se: 0.2527 0.7589 0.2527
Se: 0.7473 0.2411 0.7473
Se: 0.7473 0.7473 0.2411
Se: 0.7555 0.7555 0.7555
Se: 0.7589 0.2527 0.2527

Record 8
# Er5BiRu2

A relaxed Er5BiRu2 crystal (PBE, the Alexandria database).

Properties
DFT total energy   -6.166 eV per atom
Symmetry   I4/mcm, No. 140
Energy relative to the elements   -510 meV per atom

Lattice parameters (Å, degrees): 8.7608 8.7608 8.7608 127.93 127.93 76.74
Fractional coordinates of all 16 atoms:
Er: 0.0000 0.0000 0.0000
Er: 0.0255 0.5255 0.8106
Er: 0.2149 0.0255 0.5000
Er: 0.2851 0.7851 0.8106
Er: 0.4745 0.2851 0.5000
Er: 0.5000 0.5000 0.0000
Er: 0.5255 0.7149 0.5000
Er: 0.7149 0.2149 0.1894
Er: 0.7851 0.9745 0.5000
Er: 0.9745 0.4745 0.1894
Bi: 0.2500 0.2500 0.0000
Bi: 0.7500 0.7500 0.0000
Ru: 0.1420 0.3580 0.5000
Ru: 0.3580 0.8580 0.2161
Ru: 0.6420 0.1420 0.7839
Ru: 0.8580 0.6420 0.5000

Record 9
# BeFeTe2I

A relaxed BeFeTe2I crystal (PBE, the Alexandria database).

Properties
DFT total energy   -3.202 eV per atom
Symmetry   P4/mmm, No. 123
Relative energy among the computed polymorphs   0 meV per atom
ΔE_f (raw)   802 meV per atom

Lattice parameters (Å, degrees): 5.0161 5.0161 5.1595 90.00 90.00 90.00
Fractional coordinates of all 5 atoms:
Be: 0.0000 0.0000 0.0000
Fe: 0.5000 0.5000 0.5000
Te: 0.0000 0.5000 0.0000
Te: 0.5000 0.0000 0.0000
I: 0.0000 0.0000 0.5000

Record 10
# TaHg2

A relaxed TaHg2 crystal (PBE, the Alexandria database).

Properties
DFT total energy   -3.459 eV per atom
Symmetry   Pnnm, No. 58
Energy relative to the elements   693 meV per atom

Lattice parameters (Å, degrees): 7.6284 7.6321 2.8107 90.00 90.00 90.00
Fractional coordinates of all 6 atoms:
Ta: 0.0000 0.0000 0.0000
Ta: 0.5000 0.5000 0.5000
Hg: 0.2360 0.2388 0.5000
Hg: 0.2640 0.7388 0.0000
Hg: 0.7360 0.2612 0.0000
Hg: 0.7640 0.7612 0.5000

Record 11
# CaGd2Co

A relaxed CaGd2Co crystal (PBE, the Alexandria database).

Properties
DFT total energy   -9.352 eV per atom
Symmetry   P4/mmm, No. 123
Relative energy among the computed polymorphs   0 meV per atom
Energy relative to the elements   -34 meV per atom

Lattice parameters (Å, degrees): 3.4439 3.4439 9.4879 90.00 90.00 90.00
Fractional coordinates of all 4 atoms:
Ca: 0.0000 0.0000 0.0000
Gd: 0.5000 0.5000 0.3305
Gd: 0.5000 0.5000 0.6695
Co: 0.0000 0.0000 0.5000

Record 12
# YNiB3

A relaxed YNiB3 crystal (PBE, the Alexandria database).

Properties
DFT total energy   -3.864 eV per atom
Symmetry   Pm-3m, No. 221
Relative energy among the computed polymorphs   2926 meV per atom
Energy relative to the elements   2591 meV per atom

Lattice parameters (Å, degrees): 4.5152 4.5152 4.5152 90.00 90.00 90.00
Fractional coordinates of all 5 atoms:
Y: 0.0000 0.0000 0.0000
Ni: 0.5000 0.5000 0.5000
B: 0.0000 0.0000 0.5000
B: 0.0000 0.5000 0.0000
B: 0.5000 0.0000 0.0000